DFT (PBE+U) results for an optimized crystal structure of Pm2ErMoO8.

Lattice parameters (Å, degrees): 5.1644 5.1659 6.8701 90.00 90.00 90.97
Atoms (fractional coordinates):
Pm: 0.5000 0.5000 0.7496
Pm: 0.5000 0.5000 0.2504
Er: 0.0000 0.0000 0.5000
Mo: 0.0000 0.0000 0.0000
O: 0.1774 0.8224 0.2132
O: 0.7329 0.7333 0.0000
O: 0.8226 0.1776 0.2132
O: 0.8226 0.1776 0.7868
O: 0.2671 0.2667 0.0000
O: 0.1774 0.8224 0.7868
O: 0.7000 0.7001 0.5000
O: 0.3000 0.2999 0.5000

Volume, Å³ per atom: 15.27
Total DFT energy (no corrections), eV/atom: -7.67